Below is an optimized crystal structure of Ac4PmGe, with properties calculated at the PBE level.

Cell: 8.2899 8.2899 13.4317 Å, 90.00 90.00 90.00°
Space group I4/mcm (No. 140)
One atom of each set of equivalent atoms:
Ac (0.1608, 0.3392, 0.1423) [16 per cell]
Pm (0.0000, 0.0000, 0.0000) [4 per cell]
Ge (0.0000, 0.0000, 0.2500) [4 per cell]

Summary:
* ΔE_f: -0.056 eV per atom

Below is an optimized crystal structure of AcPm12Ge4, with properties calculated at the PBE level.

Cell: 10.5995 10.5995 10.5995 Å, 90.00 90.00 90.00°
Space group Im-3 (No. 204)
One atom of each set of equivalent atoms:
Ac (0.0000, 0.0000, 0.0000) [2 per cell]
Pm (0.0000, 0.1702, 0.3289) [24 per cell]
Ge (0.2500, 0.2500, 0.2500) [8 per cell]

Summary:
* ΔE_f: -0.116 eV per atom

Below is an optimized crystal structure of AcPm7Ge4, with properties calculated at the PBE level.

Cell: 13.5743 5.8699 10.6402 Å, 90.00 125.23 90.00°
Space group C2/m (No. 12)
One atom of each set of equivalent atoms:
Ac (0.0000, 0.0000, 0.0000) [2 per cell]
Pm (0.0000, 0.5000, 0.0000) [2 per cell]
Pm (0.0598, 0.0000, 0.3790) [4 per cell]
Pm (0.1822, 0.5000, 0.6106) [4 per cell]
Pm (0.2140, 0.0000, 0.8858) [4 per cell]
Ge (0.0599, 0.5000, 0.7614) [4 per cell]
Ge (0.1982, 0.5000, 0.3295) [4 per cell]

Summary:
* ΔE_f: -0.259 eV per atom

Below is an optimized crystal structure of Ac2PmGe4, with properties calculated at the PBE level.

Cell: 5.3494 5.3494 16.1421 Å, 90.00 90.00 90.00°
Space group I4/mmm (No. 139)
One atom of each set of equivalent atoms:
Ac (0.0000, 0.0000, 0.1308) [4 per cell]
Pm (0.0000, 0.0000, 0.5000) [2 per cell]
Ge (0.0000, 0.0000, 0.3246) [4 per cell]
Ge (0.0000, 0.5000, 0.0000) [4 per cell]

Summary:
* ΔE_f: -0.191 eV per atom

Below is an optimized crystal structure of AcPm2Ge3, with properties calculated at the PBE level.

Cell: 10.6829 7.4028 8.8531 Å, 90.00 90.00 90.00°
Space group Cmcm (No. 63)
One atom of each set of equivalent atoms:
Ac (0.0000, 0.0954, 0.2500) [4 per cell]
Pm (0.1836, 0.5000, 0.0000) [8 per cell]
Ge (0.0000, 0.4264, 0.7500) [4 per cell]
Ge (0.2051, 0.2263, 0.7500) [8 per cell]

Summary:
* ΔE_f: -0.648 eV per atom

Below is an optimized crystal structure of Ac2Pm2Ge5, with properties calculated at the PBE level.

Cell: 16.6230 7.8856 7.8402 Å, 90.00 90.00 90.00°
Space group Cmce (No. 64)
One atom of each set of equivalent atoms:
Ac (0.1893, 0.0000, 0.0000) [8 per cell]
Pm (0.0000, 0.1790, 0.3220) [8 per cell]
Ge (0.0000, 0.0000, 0.0000) [4 per cell]
Ge (0.1272, 0.1127, 0.6125) [16 per cell]

Summary:
* ΔE_f: -0.692 eV per atom

Below is an optimized crystal structure of AcPm8Ge4, with properties calculated at the PBE level.

Cell: 12.3368 12.3368 12.3368 Å, 90.00 90.00 90.00°
Space group F-43m (No. 216)
One atom of each set of equivalent atoms:
Ac (0.0000, 0.0000, 0.0000) [4 per cell]
Pm (0.1205, 0.1205, 0.3795) [16 per cell]
Pm (0.1475, 0.1475, 0.8525) [16 per cell]
Ge (0.1174, 0.1174, 0.6174) [16 per cell]

Summary:
* ΔE_f: -0.137 eV per atom

Below is an optimized crystal structure of AcPmGe2, with properties calculated at the PBE level.

Cell: 4.8141 4.8141 17.8054 Å, 90.00 90.00 120.00°
Space group R-3m (No. 166, hexagonal axes)
One atom of each set of equivalent atoms:
Ac (0.0000, 0.0000, 0.0000) [3 per cell]
Pm (0.0000, 0.0000, 0.5000) [3 per cell]
Ge (0.0000, 0.0000, 0.2359) [6 per cell]

Summary:
* ΔE_f: -0.600 eV per atom

Below is an optimized crystal structure of AcPm2Ge, with properties calculated at the PBE level.

Cell: 4.9369 4.9369 4.8925 Å, 90.00 90.00 90.00°
Space group P4/mmm (No. 123)
One atom of each set of equivalent atoms:
Ac (0.0000, 0.0000, 0.0000) [1 per cell]
Pm (0.0000, 0.5000, 0.5000) [2 per cell]
Ge (0.5000, 0.5000, 0.0000) [1 per cell]

Summary:
* ΔE_f: -0.262 eV per atom

Below is an optimized crystal structure of Ac3PmGe3, with properties calculated at the PBE level.

Cell: 8.8160 13.5034 8.1471 Å, 90.00 94.96 90.00°
Space group C2/m (No. 12)
One atom of each set of equivalent atoms:
Ac (0.0000, 0.1664, 0.0000) [4 per cell]
Ac (0.0000, 0.2328, 0.5000) [4 per cell]
Ac (0.1195, 0.5000, 0.8498) [4 per cell]
Pm (0.2301, 0.0000, 0.6057) [4 per cell]
Ge (0.0693, 0.0000, 0.2817) [4 per cell]
Ge (0.1797, 0.3303, 0.2046) [8 per cell]

Summary:
* ΔE_f: -0.527 eV per atom

Below is an optimized crystal structure of AcPm6Ge4, with properties calculated at the PBE level.

Cell: 7.8961 7.8961 11.0897 Å, 90.00 90.00 90.00°
Space group I-42m (No. 121)
One atom of each set of equivalent atoms:
Ac (0.0000, 0.0000, 0.0000) [2 per cell]
Pm (0.0000, 0.5000, 0.0000) [4 per cell]
Pm (0.1547, 0.1547, 0.3260) [8 per cell]
Ge (0.2156, 0.2156, 0.5929) [8 per cell]

Summary:
* ΔE_f: -0.499 eV per atom

Below is an optimized crystal structure of AcPm2Ge6, with properties calculated at the PBE level.

Cell: 4.1268 8.4796 13.2021 Å, 90.00 90.00 90.00°
Space group Immm (No. 71)
One atom of each set of equivalent atoms:
Ac (0.0000, 0.0000, 0.0000) [2 per cell]
Pm (0.0000, 0.5000, 0.1356) [4 per cell]
Ge (0.0000, 0.1895, 0.5000) [4 per cell]
Ge (0.0000, 0.2709, 0.3114) [8 per cell]

Summary:
* ΔE_f: -0.476 eV per atom